Here is a geometry-optimized HfZn2TeN structure from Alexandria. Energies are from GGA-PBEsol.

Computed properties:
Its energy relative to the elements, uncorrected is 1.295 eV per atom.

Unit cell a=5.0921 b=5.0921 c=3.9697 alpha=90.00 beta=90.00 gamma=90.00
Sites, in units of the cell vectors:
Hf 0.0000 0.0000 0.0000
Zn 0.0000 0.5000 0.5000
Zn 0.5000 0.0000 0.5000
Te 0.5000 0.5000 0.5000
N 0.5000 0.5000 0.0000



Here is a geometry-optimized HfTiN2 structure from Alexandria. Energies are from GGA-PBEsol.

Computed properties:
Its energy relative to the elements, uncorrected is -1.937 eV per atom.

Unit cell a=5.3179 b=5.3179 c=5.3179 alpha=33.83 beta=33.83 gamma=33.83
Sites, in units of the cell vectors:
Hf 0.0000 0.0000 0.0000
Ti 0.5000 0.5000 0.5000
N 0.2472 0.2472 0.2472
N 0.7528 0.7528 0.7528



Here is a geometry-optimized HfTiN2 structure from Alexandria. Energies are from GGA-PBEsol.

Computed properties:
Its energy relative to the elements, uncorrected is -1.929 eV per atom.

Unit cell a=3.0935 b=3.0935 c=4.3681 alpha=90.00 beta=90.00 gamma=90.00
Sites, in units of the cell vectors:
Hf 0.0000 0.0000 0.0000
Ti 0.5000 0.5000 0.5000
N 0.0000 0.0000 0.5000
N 0.5000 0.5000 0.0000



Here is a geometry-optimized Hf2TlN structure from Alexandria. Energies are from GGA-PBEsol.

Computed properties:
Its energy relative to the elements, uncorrected is 0.575 eV per atom.

Unit cell a=4.6010 b=4.6010 c=4.6010 alpha=60.00 beta=60.00 gamma=60.00
Sites, in units of the cell vectors:
Hf 0.2500 0.2500 0.2500
Hf 0.7500 0.7500 0.7500
Tl 0.0000 0.0000 0.0000
N 0.5000 0.5000 0.5000



Here is a geometry-optimized Y2HfN2 structure from Alexandria. Energies are from GGA-PBEsol.

Computed properties:
Its energy relative to the elements, uncorrected is -1.028 eV per atom.

Unit cell a=6.1342 b=6.1342 c=6.1342 alpha=136.36 beta=136.36 gamma=63.42
Sites, in units of the cell vectors:
Y 0.2500 0.7500 0.5000
Y 0.7500 0.2500 0.5000
Hf 0.0000 0.0000 0.0000
N 0.1945 0.1945 0.0000
N 0.8055 0.8055 0.0000



Here is a geometry-optimized YHf2N2 structure from Alexandria. Energies are from GGA-PBEsol.

Computed properties:
Its energy relative to the elements, uncorrected is -1.182 eV per atom.

Unit cell a=6.3699 b=6.3699 c=6.3699 alpha=141.63 beta=141.63 gamma=55.39
Sites, in units of the cell vectors:
Y 0.0000 0.0000 0.0000
Hf 0.2500 0.7500 0.5000
Hf 0.7500 0.2500 0.5000
N 0.2054 0.2054 0.0000
N 0.7946 0.7946 0.0000



Here is a geometry-optimized Hf2ZnN structure from Alexandria. Energies are from GGA-PBEsol.

Computed properties:
Its energy relative to the elements, uncorrected is 0.221 eV per atom.

Unit cell a=4.3614 b=4.3614 c=4.3614 alpha=60.00 beta=60.00 gamma=60.00
Sites, in units of the cell vectors:
Hf 0.2500 0.2500 0.2500
Hf 0.7500 0.7500 0.7500
Zn 0.0000 0.0000 0.0000
N 0.5000 0.5000 0.5000



Here is a geometry-optimized Hf6Zn6N structure from Alexandria. Energies are from GGA-PBEsol.

Computed properties:
Its energy relative to the elements, uncorrected is -0.558 eV per atom.

Unit cell a=8.3480 b=8.3480 c=8.3480 alpha=60.00 beta=60.00 gamma=60.00
Sites, in units of the cell vectors:
Hf 0.0651 0.0651 0.6849
Hf 0.0651 0.6849 0.0651
Hf 0.0651 0.6849 0.6849
Hf 0.3151 0.3151 0.9349
Hf 0.3151 0.9349 0.3151
Hf 0.3151 0.9349 0.9349
Hf 0.6849 0.0651 0.0651
Hf 0.6849 0.0651 0.6849
Hf 0.6849 0.6849 0.0651
Hf 0.9349 0.3151 0.3151
Hf 0.9349 0.3151 0.9349
Hf 0.9349 0.9349 0.3151
Zn 0.0000 0.5000 0.5000
Zn 0.2930 0.2930 0.2930
Zn 0.2930 0.2930 0.6209
Zn 0.2930 0.6209 0.2930
Zn 0.3791 0.7070 0.7070
Zn 0.5000 0.0000 0.5000
Zn 0.5000 0.5000 0.0000
Zn 0.5000 0.5000 0.5000
Zn 0.6209 0.2930 0.2930
Zn 0.7070 0.3791 0.7070
Zn 0.7070 0.7070 0.3791
Zn 0.7070 0.7070 0.7070
N 0.1250 0.1250 0.1250
N 0.8750 0.8750 0.8750



Number 1: theoretical density 7274 kg/m3. Number 2: theoretical density 10169 kg/m3. Number 3: theoretical density 10105 kg/m3. Number 4: theoretical density 13872 kg/m3. Number 5: theoretical density 5881 kg/m3. Number 6: theoretical density 7960 kg/m3. Number 7: theoretical density 12353 kg/m3. Number 8: theoretical density 11928 kg/m3.